Below is a relaxed YMn6Fe3 crystal, with properties calculated at the PBE-GGA level.

**V**: 13.03 Å³/atom
**Space group**: P1 (1)
**Energy**: -8.532 eV per atom
**Magnetization**: 6.50 μB per formula unit
**Calculated density**: 7471 kg/m³
**DOS at the Fermi energy**: 12.1 states/eV/cell
**Formation energy**: 0.1551 eV per atom

Unit cell a=4.7659 b=4.8608 c=6.6159 alpha=87.24 beta=72.47 gamma=63.62
With the nearest neighbours (Å) after each atom.
Fractional positions:
Y (0.0000, 0.0000, 0.0000)  7 Fe 2.78-3.02, 9 Mn 2.87-3.02
Mn (0.1086, 0.4571, 0.7325)  5 Mn 2.27-2.53
Mn (0.3397, 0.7904, 0.5303)  6 Mn 2.39-2.64, 3 Fe 2.44-2.60
Mn (0.4629, 0.2332, 0.3981)  4 Mn 2.29-2.52, 3 Fe 2.45-2.55
Mn (0.6120, 0.4771, 0.7677)  6 Mn 2.27-2.52, 1 Fe 2.40
Mn (0.6309, 0.9749, 0.7347)  2 Fe 2.40-2.59, 6 Mn 2.42-2.66
Mn (0.9359, 0.2237, 0.4229)  4 Mn 2.29-2.49, 2 Fe 2.37-2.51
Fe (0.2897, 0.3522, 0.0777)  1 Fe 2.37, 5 Mn 2.40-2.63
Fe (0.5929, 0.6821, 0.1451)  2 Mn 2.44-2.69, 2 Fe 2.68-2.72
Fe (0.9462, 0.7068, 0.3856)  7 Mn 2.37-2.60, 1 Fe 2.37